Compound: RbAlCr2
Source: Alexandria via LeMat-Bulk
Functional: GGA-PBEsol
Structure: relaxed

Cell: 5.583 5.583 9.627 Å, 106.85 106.85 90.00°
Last column: magnetic moment on the atom in μB.
Element x y z (fractional)
Cr: 0.625 0.875 0.250  3.87
Al: 0.500 0.500 0.000  -0.08
Rb: 0.250 0.750 0.500  0.01
Rb: 0.000 0.000 0.000  0.01
Cr: 0.625 0.375 0.250  3.87
Al: 0.750 0.250 0.500  -0.08
Cr: 0.125 0.375 0.750  3.87
Cr: 0.625 0.375 0.750  3.87

Compound: AlCrRe2
Source: Alexandria via LeMat-Bulk
Functional: GGA-PBEsol
Structure: relaxed

Cell: 3.024 4.300 4.932 Å, 115.84 107.85 90.00°
Last column: magnetic moment on the atom in μB.
Element x y z (fractional)
Cr: 0.500 0.000 0.000  0.33
Al: 0.000 0.500 0.000  0.00
Re: 0.240 0.240 0.480  -0.04
Re: 0.760 0.760 0.520  -0.04

Compound: AlCrRe2
Source: Alexandria via LeMat-Bulk
Functional: GGA-PBEsol
Structure: relaxed

Cell: 2.647 2.647 8.487 Å, 90.00 90.00 111.77°
Element x y z (fractional)
Al: 0.000 0.000 0.490
Cr: 0.500 0.500 0.250
Re: 0.000 0.000 0.013
Re: 0.500 0.500 0.748

Compound: Al2CrRe
Source: Alexandria via LeMat-Bulk
Functional: GGA-PBEsol
Structure: relaxed

Cell: 3.025 3.025 5.865 Å, 90.00 90.00 90.00°
Element x y z (fractional)
Al: 0.000 0.000 0.992
Cr: 0.000 0.000 0.502
Al: 0.500 0.500 0.268
Re: 0.500 0.500 0.738

Compound: AlCrRe2
Source: Alexandria via LeMat-Bulk
Functional: GGA-PBEsol
Structure: relaxed

Cell: 3.029 4.158 4.979 Å, 114.68 107.71 90.00°
Element x y z (fractional)
Cr: 0.254 0.754 0.509
Al: 0.505 0.505 0.010
Re: 0.994 0.994 0.989
Re: 0.746 0.246 0.492

Compound: AlCrRe2
Source: Alexandria via LeMat-Bulk
Functional: GGA-PBEsol
Structure: relaxed

Cell: 2.938 4.268 4.268 Å, 90.00 90.00 90.00°
Element x y z (fractional)
Re: 0.000 0.500 0.000
Cr: 0.500 0.000 0.000
Al: 0.500 0.500 0.500
Re: 0.000 0.000 0.500

Compound: AlCr2Rh
Source: Alexandria via LeMat-Bulk
Functional: GGA-PBEsol
Structure: relaxed

Cell: 2.629 2.629 7.253 Å, 90.00 90.00 90.00°
Last column: magnetic moment on the atom in μB.
Element x y z (fractional)
Cr: 0.000 0.000 0.247  0.12
Rh: 0.500 0.500 0.000  0.00
Al: 0.500 0.500 0.500  0.00
Cr: 0.000 0.000 0.753  0.12

Compound: AlCr2Rh
Source: Alexandria via LeMat-Bulk
Functional: GGA-PBEsol
Structure: relaxed

Cell: 2.590 4.790 4.790 Å, 120.02 97.34 97.34°
Element x y z (fractional)
Rh: 0.500 0.500 0.500
Al: 0.500 0.000 0.000
Cr: 0.000 0.000 0.500
Cr: 0.000 0.500 0.000

Compound: AlCr2Rh
Source: Alexandria via LeMat-Bulk
Functional: GGA-PBEsol
Structure: relaxed

Cell: 2.626 2.626 7.982 Å, 90.00 90.00 113.46°
Element x y z (fractional)
Cr: 0.500 0.500 0.766
Al: 0.500 0.500 0.248
Cr: 0.000 0.000 0.985
Rh: 0.000 0.000 0.501

Compound: AlCr4Rh
Source: Alexandria via LeMat-Bulk
Functional: GGA-PBEsol
Structure: relaxed

Cell: 4.694 4.694 4.694 Å, 60.00 60.00 60.00°
Element x y z (fractional)
Cr: 0.882 0.373 0.373
Cr: 0.373 0.373 0.373
Rh: 0.750 0.750 0.750
Cr: 0.373 0.882 0.373
Cr: 0.373 0.373 0.882
Al: 0.000 0.000 0.000

Compound: AlCr2Rh
Source: Alexandria via LeMat-Bulk
Functional: GGA-PBEsol
Structure: relaxed

Cell: 3.442 3.442 4.836 Å, 110.85 110.85 90.00°
Element x y z (fractional)
Cr: 0.750 0.250 0.500
Rh: 0.500 0.500 0.000
Cr: 0.250 0.750 0.500
Al: 0.000 0.000 0.000

Compound: AlTlCrRh2
Source: Alexandria via LeMat-Bulk
Functional: GGA-PBEsol
Structure: relaxed

Cell: 4.757 4.899 4.899 Å, 90.00 90.00 90.00°
Last column: magnetic moment on the atom in μB.
Element x y z (fractional)
Rh: 0.000 0.000 0.500  -0.10
Tl: 0.000 0.000 0.000  -0.02
Al: 0.500 0.000 0.000  -0.02
Rh: 0.000 0.500 0.000  -0.10
Cr: 0.500 0.500 0.500  3.95

| no. | formation enthalpy at 0 K (eV per atom) | total DFT energy (no corrections) (eV per atom) |
| --- | --- | --- |
| 1 | 1.3657 | -5.035 |
| 2 | -0.0918 | -10.341 |
| 3 | 0.1165 | -10.133 |
| 4 | -0.2379 | -8.177 |
| 5 | -0.1088 | -10.358 |
| 6 | 0.0257 | -10.224 |
| 7 | -0.0182 | -8.197 |
| 8 | -0.0768 | -8.255 |
| 9 | -0.0348 | -8.213 |
| 10 | 0.0048 | -8.862 |
| 11 | -0.2017 | -8.380 |
| 12 | 1.6705 | -4.978 |